Crystalline SiPd3Se at its relaxed geometry. Source: Alexandria via LeMat-Bulk, functional PBE-GGA.

## Properties
- Uncorrected formation energy: 0.05 eV/atom
- Uncorrected energy: -4.8457 eV per atom
- M_tot: 0.00 μB per formula unit
- Fermi-level density of states: 0.26 states/eV per atom
- Energy above the lowest structure with this stoichiometry: 0.000 eV/atom

a b c (Å): 4.545 4.545 4.545
angles (deg): 90.00 90.00 90.00
Space group Pm-3m (No. 221)
Inequivalent atoms, fractional coordinates:
Si1 0.000 0.000 0.000
Pd1 0.000 0.000 0.500
Se1 0.500 0.500 0.500